# 1
# Er6GeTe3Pb2 | the Alexandria database | PBE-GGA | relaxed
# volume: 28.94 Å³/atom
# D(E_F): 5.87 states/eV/cell
# spin magnetization: 0.0 μB/f.u.
# E: -5.04 eV per atom
data_Er6GeTe3Pb2
_cell_length_a 18.955
_cell_length_b 4.309
_cell_length_c 8.741
_cell_angle_alpha 90.00
_cell_angle_beta 103.38
_cell_angle_gamma 90.00
_space_group_name_H-M_alt 'C 1 2/m 1'
_space_group_IT_number 12
_space_group_name_Hall '-C 2y'
loop_
_atom_site_label
_atom_site_fract_x
_atom_site_fract_y
_atom_site_fract_z
_atom_site_occupancy
Er1 0.002 0.000 0.225 1
Er2 0.156 0.500 0.082 1
Er3 0.167 0.500 0.577 1
Ge1 0.000 0.500 0.000 1
Te1 0.000 0.500 0.500 1
Te2 0.168 0.000 0.834 1
Pb1 0.167 0.000 0.332 1

=====

# 2
# Er8Ge3Te4Pb | the Alexandria database | PBE-GGA | relaxed
# volume: 27.74 Å³/atom
# D(E_F): 7.74 states/eV/cell
# spin magnetization: 0.0 μB/f.u.
# E: -5.24 eV per atom
data_Er8Ge3Te4Pb
_cell_length_a 8.5187
_cell_length_b 8.5187
_cell_length_c 21.1898
_cell_angle_alpha 90.00
_cell_angle_beta 90.00
_cell_angle_gamma 120.00
_space_group_name_H-M_alt 'R -3 m'
_space_group_IT_number 166
_space_group_name_Hall '-R 3 2"'
loop_
_atom_site_label
_atom_site_fract_x
_atom_site_fract_y
_atom_site_fract_z
_atom_site_occupancy
Er1 0.0000 0.0000 0.2390 1
Er2 0.0109 0.5055 0.7585 1
Ge1 0.0000 0.5000 0.5000 1
Te1 0.0000 0.0000 0.0000 1
Te2 0.0000 0.5000 0.0000 1
Pb1 0.0000 0.0000 0.5000 1

=====

# 3
# ErGe3Pd | the Alexandria database | PBE-GGA | relaxed
# volume: 19.33 Å³/atom
# energy of formation from the pure elements: -0.49 eV/atom
# D(E_F): 9.27 states/eV/cell
# spin magnetization: 0.0 μB/f.u.
# E: -5.22 eV per atom
data_ErGe3Pd
_cell_length_a 12.063
_cell_length_b 5.647
_cell_length_c 5.674
_cell_angle_alpha 90.00
_cell_angle_beta 90.00
_cell_angle_gamma 90.00
_space_group_name_H-M_alt 'P b c m'
_space_group_IT_number 57
_space_group_name_Hall '-P 2c 2b'
loop_
_atom_site_label
_atom_site_fract_x
_atom_site_fract_y
_atom_site_fract_z
_atom_site_occupancy
Er1 0.189 0.010 0.250 1
Ge1 0.001 0.750 0.000 1
Ge2 0.271 0.522 0.250 1
Ge3 0.428 0.638 0.750 1
Pd1 0.398 0.250 0.000 1

=====

# 4
# Er3Ge2Pd | the Alexandria database | PBE-GGA | relaxed
# volume: 22.82 Å³/atom
# energy of formation from the pure elements: -0.88 eV/atom
# D(E_F): 14.80 states/eV/cell
# spin magnetization: 0.0 μB/f.u.
# E: -5.57 eV per atom
data_Er3Ge2Pd
_cell_length_a 11.484
_cell_length_b 4.269
_cell_length_c 11.171
_cell_angle_alpha 90.00
_cell_angle_beta 90.00
_cell_angle_gamma 90.00
_space_group_name_H-M_alt 'P n m a'
_space_group_IT_number 62
_space_group_name_Hall '-P 2ac 2n'
loop_
_atom_site_label
_atom_site_fract_x
_atom_site_fract_y
_atom_site_fract_z
_atom_site_occupancy
Er1 0.052 0.250 0.128 1
Er2 0.124 0.750 0.561 1
Er3 0.219 0.250 0.806 1
Ge1 0.008 0.750 0.311 1
Ge2 0.184 0.750 0.006 1
Pd1 0.128 0.250 0.373 1

=====

# 5
# Er2Ge7Pd12 | the Alexandria database | PBE-GGA | relaxed
# volume: 16.78 Å³/atom
# energy of formation from the pure elements: -0.67 eV/atom
# D(E_F): 7.79 states/eV/cell
# spin magnetization: 0.0 μB/f.u.
# E: -5.61 eV per atom
data_Er2Ge7Pd12
_cell_length_a 10.3171
_cell_length_b 10.3171
_cell_length_c 3.8223
_cell_angle_alpha 90.00
_cell_angle_beta 90.00
_cell_angle_gamma 120.00
_space_group_name_H-M_alt 'P -3'
_space_group_IT_number 147
_space_group_name_Hall '-P 3'
loop_
_atom_site_label
_atom_site_fract_x
_atom_site_fract_y
_atom_site_fract_z
_atom_site_occupancy
Er1 0.3333 0.6667 0.2449 1
Ge1 0.0000 0.0000 0.5000 1
Ge2 0.1205 0.7100 0.7489 1
Pd1 0.0649 0.4444 0.7511 1
Pd2 0.1113 0.2586 0.2472 1

=====

# 6
# Er12GePd6 | the Alexandria database | PBE-GGA | relaxed
# volume: 27.80 Å³/atom
# energy of formation from the pure elements: -0.53 eV/atom
# D(E_F): 55.81 states/eV/cell
# spin magnetization: 0.0 μB/f.u.
# E: -5.30 eV per atom
data_Er12GePd6
_cell_length_a 12.7357
_cell_length_b 12.7357
_cell_length_c 11.2793
_cell_angle_alpha 90.00
_cell_angle_beta 90.00
_cell_angle_gamma 120.00
_space_group_name_H-M_alt 'R -3'
_space_group_IT_number 148
_space_group_name_Hall '-R 3'
loop_
_atom_site_label
_atom_site_fract_x
_atom_site_fract_y
_atom_site_fract_z
_atom_site_occupancy
Er1 0.0272 0.2123 0.3870 1
Er2 0.0358 0.2103 0.8840 1
Ge1 0.0000 0.0000 0.0000 1
Pd1 0.0402 0.2596 0.6421 1

=====

# 7
# ErGePd | the Alexandria database | PBE-GGA | relaxed
# volume: 19.58 Å³/atom
# energy of formation from the pure elements: -0.96 eV/atom
# D(E_F): 1.13 states/eV/cell
# spin magnetization: 0.0 μB/f.u.
# E: -5.75 eV per atom
data_ErGePd
_cell_length_a 4.4070
_cell_length_b 4.4070
_cell_length_c 3.4921
_cell_angle_alpha 90.00
_cell_angle_beta 90.00
_cell_angle_gamma 120.00
_space_group_name_H-M_alt 'P -6 m 2'
_space_group_IT_number 187
_space_group_name_Hall 'P -6 2'
loop_
_atom_site_label
_atom_site_fract_x
_atom_site_fract_y
_atom_site_fract_z
_atom_site_occupancy
Er1 0.0000 0.0000 0.0000 1
Ge1 0.6667 0.3333 0.5000 1
Pd1 0.3333 0.6667 0.5000 1

=====

# 8
# Er3Ge4Pd2 | the Alexandria database | PBE-GGA | relaxed
# volume: 19.91 Å³/atom
# energy of formation from the pure elements: -0.85 eV/atom
# D(E_F): 5.76 states/eV/cell
# spin magnetization: 0.0 μB/f.u.
# E: -5.58 eV per atom
# ΔE to the lowest computed polymorph: 0.000 eV per atom
data_Er3Ge4Pd2
_cell_length_a 10.755
_cell_length_b 4.256
_cell_length_c 8.237
_cell_angle_alpha 90.00
_cell_angle_beta 108.13
_cell_angle_gamma 90.00
_space_group_name_H-M_alt 'C 1 2/m 1'
_space_group_IT_number 12
_space_group_name_Hall '-C 2y'
loop_
_atom_site_label
_atom_site_fract_x
_atom_site_fract_y
_atom_site_fract_z
_atom_site_occupancy
Er1 0.000 0.000 0.000 1
Er2 0.129 0.500 0.694 1
Ge1 0.074 0.000 0.397 1
Ge2 0.206 0.500 0.064 1
Pd1 0.188 0.500 0.362 1

=====

# 9
# Er3Ge4Pd7 | the Alexandria database | PBE-GGA | relaxed
# volume: 17.83 Å³/atom
# energy of formation from the pure elements: -0.85 eV/atom
# D(E_F): 15.60 states/eV/cell
# spin magnetization: 0.0 μB/f.u.
# E: -5.74 eV per atom
data_Er3Ge4Pd7
_cell_length_a 15.639
_cell_length_b 4.084
_cell_length_c 9.560
_cell_angle_alpha 90.00
_cell_angle_beta 125.17
_cell_angle_gamma 90.00
_space_group_name_H-M_alt 'C 1 2/m 1'
_space_group_IT_number 12
_space_group_name_Hall '-C 2y'
loop_
_atom_site_label
_atom_site_fract_x
_atom_site_fract_y
_atom_site_fract_z
_atom_site_occupancy
Er1 0.000 0.000 0.000 1
Er2 0.175 0.500 0.671 1
Ge1 0.109 0.000 0.826 1
Ge2 0.163 0.500 0.262 1
Pd1 0.000 0.000 0.500 1
Pd2 0.011 0.500 0.288 1
Pd3 0.170 0.000 0.427 1
Pd4 0.193 0.500 0.031 1

=====

# 10
# Er2Ge4Pd3 | the Alexandria database | PBE-GGA | relaxed
# volume: 18.13 Å³/atom
# energy of formation from the pure elements: -0.73 eV/atom
# D(E_F): 17.58 states/eV/cell
# spin magnetization: 0.0 μB/f.u.
# E: -5.53 eV per atom
data_Er2Ge4Pd3
_cell_length_a 5.801
_cell_length_b 14.994
_cell_length_c 7.502
_cell_angle_alpha 90.00
_cell_angle_beta 90.00
_cell_angle_gamma 90.00
_space_group_name_H-M_alt 'C m c e'
_space_group_IT_number 64
_space_group_name_Hall '-C 2ac 2'
loop_
_atom_site_label
_atom_site_fract_x
_atom_site_fract_y
_atom_site_fract_z
_atom_site_occupancy
Er1 0.000 0.108 0.089 1
Ge1 0.000 0.179 0.471 1
Ge2 0.250 0.058 0.750 1
Pd1 0.000 0.000 0.500 1
Pd2 0.250 0.227 0.750 1

=====

# 11
# ErGePd5 | the Alexandria database | PBE-GGA | relaxed
# volume: 17.01 Å³/atom
# energy of formation from the pure elements: -0.59 eV/atom
# D(E_F): 11.39 states/eV/cell
# spin magnetization: 0.0 μB/f.u.
# E: -5.61 eV per atom
data_ErGePd5
_cell_length_a 6.732
_cell_length_b 7.518
_cell_length_c 9.808
_cell_angle_alpha 90.00
_cell_angle_beta 106.36
_cell_angle_gamma 90.00
_space_group_name_H-M_alt 'C 1 2/c 1'
_space_group_IT_number 15
_space_group_name_Hall '-C 2yc'
loop_
_atom_site_label
_atom_site_fract_x
_atom_site_fract_y
_atom_site_fract_z
_atom_site_occupancy
Er1 0.000 0.160 0.250 1
Ge1 0.250 0.250 0.000 1
Pd1 0.000 0.216 0.750 1
Pd2 0.114 0.477 0.141 1
Pd3 0.187 0.087 0.557 1

=====

# 12
# Er2Ge4Pd5 | the Alexandria database | PBE-GGA | relaxed
# volume: 18.68 Å³/atom
# energy of formation from the pure elements: -0.61 eV/atom
# D(E_F): 29.12 states/eV/cell
# spin magnetization: 0.0 μB/f.u.
# E: -5.48 eV per atom
data_Er2Ge4Pd5
_cell_length_a 5.620
_cell_length_b 9.569
_cell_length_c 15.288
_cell_angle_alpha 90.00
_cell_angle_beta 90.00
_cell_angle_gamma 90.00
_space_group_name_H-M_alt 'F m m m'
_space_group_IT_number 69
_space_group_name_Hall '-F 2 2'
loop_
_atom_site_label
_atom_site_fract_x
_atom_site_fract_y
_atom_site_fract_z
_atom_site_occupancy
Er1 0.000 0.000 0.136 1
Ge1 0.000 0.146 0.367 1
Pd1 0.000 0.000 0.500 1
Pd2 0.250 0.250 0.000 1
Pd3 0.250 0.250 0.250 1

=====

Question: What is the spin magnetization in the second record?
Answer: 0.0 μB/f.u.

=====

Question: Among the records above, which one has the lowest E?
Answer: ErGePd

=====

Question: Look up the E of the seventh one.
Answer: -5.75 eV per atom